{
  "formula": "CaZn2CuP",
  "functional": "PBE",
  "state": "relaxed",
  "lattice_angstrom": [[-2.8787, -3.5109, -3.4780], [3.4860, 0.8252, -3.7184], [3.0842, -4.4213, 1.9103]],
  "species": ["Cu", "Ca", "P", "Zn", "Zn"],
  "fractional_positions": [[0.0000, 0.5000, 0.0000], [0.0000, 0.0000, 0.0000], [0.5000, 0.5000, 0.5000], [0.0000, 0.0000, 0.5000], [0.5000, 0.0000, 0.0000]],
  "crystal_system": "tetragonal",
  "formation_energy_mev_per_atom": 1289
}

***

{
  "formula": "CrCu2S2",
  "functional": "PBE",
  "state": "relaxed",
  "lattice_angstrom": [[3.4903, 0.0000, 0.0000], [0.0000, 3.4903, 0.0000], [1.7452, 1.7452, 6.2744]],
  "species": ["Cu", "Cu", "S", "S", "Cr"],
  "fractional_positions": [[0.7500, 0.2500, 0.5000], [0.2500, 0.7500, 0.5000], [0.3828, 0.3828, 0.2345], [0.6172, 0.6172, 0.7655], [0.0000, 0.0000, 0.0000]],
  "crystal_system": "tetragonal",
  "e_form_raw_ev_per_atom": 0.06,
  "e_above_lowest_polymorph_mev_per_atom": 48
}

***

{
  "formula": "BaHfZnFe2",
  "functional": "PBE",
  "state": "relaxed",
  "lattice_angstrom": [[-2.9784, -3.3279, 1.6917], [2.2847, -4.1921, -4.2242], [3.3176, -1.3673, 3.1514]],
  "species": ["Fe", "Zn", "Fe", "Ba", "Hf"],
  "fractional_positions": [[0.5000, 0.0000, 0.0000], [0.5000, 0.5000, 0.5000], [0.0000, 0.0000, 0.5000], [0.0000, 0.5000, 0.0000], [0.0000, 0.0000, 0.0000]],
  "crystal_system": "tetragonal",
  "formation_energy_mev_per_atom": 1290
}

***

{
  "formula": "SrReN2F",
  "functional": "PBE",
  "state": "relaxed",
  "lattice_angstrom": [[-3.1442, -0.8513, -2.2311], [2.2760, -2.1849, -2.3738], [-0.7931, -3.4852, 2.4475]],
  "species": ["Sr", "N", "Re", "F", "N"],
  "fractional_positions": [[0.5000, 0.5000, 0.5000], [0.0000, 0.5000, 0.0000], [0.0000, 0.0000, 0.0000], [0.0000, 0.0000, 0.5000], [0.5000, 0.0000, 0.0000]],
  "crystal_system": "tetragonal",
  "e_form_raw_ev_per_atom": -0.92,
  "e_above_lowest_polymorph_mev_per_atom": 0
}

***

{
  "formula": "Zr2IrPt",
  "functional": "PBE",
  "state": "relaxed",
  "lattice_angstrom": [[5.2828, -0.0069, -0.0393], [2.2069, 4.7997, 0.0393], [-3.7094, -2.4518, 2.8528]],
  "species": ["Zr", "Zr", "Pt", "Ir"],
  "fractional_positions": [[0.9997, 0.9997, 0.0000], [0.7494, 0.2494, 0.5000], [0.2498, 0.7498, 0.5000], [0.5010, 0.5010, 0.0000]],
  "crystal_system": "orthorhombic",
  "formation_energy_mev_per_atom": -786
}

***

{
  "formula": "LaMn2HPd",
  "functional": "PBE",
  "state": "relaxed",
  "lattice_angstrom": [[-2.3305, 0.2949, 3.1109], [2.7723, -2.9954, 2.3608], [2.1239, 2.9960, 1.3071]],
  "species": ["Mn", "H", "La", "Mn", "Pd"],
  "fractional_positions": [[0.5000, 0.0000, 0.0000], [0.0000, 0.0000, 0.0000], [0.0000, 0.5000, 0.0000], [0.0000, 0.0000, 0.5000], [0.5000, 0.5000, 0.5000]],
  "crystal_system": "tetragonal"
}

***

{
  "formula": "Dy2SnAu",
  "functional": "PBE",
  "state": "relaxed",
  "lattice_angstrom": [[3.8986, 0.0000, 0.0000], [1.9493, 3.3763, 0.0000], [1.9493, 1.1254, 8.3779]],
  "species": ["Au", "Dy", "Dy", "Sn"],
  "fractional_positions": [[0.0000, 0.0000, 0.0000], [0.7422, 0.7422, 0.7735], [0.2578, 0.2578, 0.2265], [0.5000, 0.5000, 0.5000]],
  "crystal_system": "trigonal",
  "formation_energy_mev_per_atom": -587
}

***

{
  "formula": "Dy3GeO8",
  "functional": "PBE",
  "state": "relaxed",
  "lattice_angstrom": [[10.3318, 0.0000, 0.0000], [0.0000, 5.4115, -0.0487], [0.0000, 1.5188, 5.8739]],
  "species": ["O", "O", "O", "O", "O", "O", "Ge", "Dy", "O", "Dy", "Ge", "O", "O", "O", "O", "O", "Dy", "O", "O", "Dy", "O", "Dy", "O", "Dy"],
  "fractional_positions": [[0.6248, 0.0058, 0.8843], [0.4728, 0.3149, 0.4336], [0.2500, 0.4096, 0.6241], [0.0272, 0.3149, 0.4336], [0.6310, 0.4528, 0.9621], [0.5272, 0.6851, 0.5664], [0.7500, 0.1878, 0.0106], [0.9529, 0.6915, 0.1963], [0.7500, 0.5904, 0.3759], [0.4529, 0.3085, 0.8037], [0.2500, 0.8122, 0.9894], [0.7500, 0.0139, 0.3063], [0.1248, 0.9942, 0.1157], [0.3690, 0.5472, 0.0379], [0.9728, 0.6851, 0.5664], [0.1310, 0.5472, 0.0379], [0.0471, 0.3085, 0.8037], [0.3752, 0.9942, 0.1157], [0.8690, 0.4528, 0.9621], [0.7500, 0.7711, 0.6839], [0.2500, 0.9861, 0.6937], [0.2500, 0.2289, 0.3161], [0.8752, 0.0058, 0.8843], [0.5471, 0.6915, 0.1963]],
  "crystal_system": "monoclinic",
  "e_form_raw_ev_per_atom": -2.43
}

***

The calculation returns the following VASP energy values, one per record and in order: -7.61 -25.79 -23.63 -37.27 -35.14 -30.03 -18.83 -174.47 eV/cell.